(one)
The following is a PBE calculation of a relaxed AcP2W crystal, from Alexandria via LeMat-Bulk.

Cell: 6.696 6.696 6.696 Å, 34.16 34.16 34.16°
Fractional positions:
Ac (0.000, 0.000, 0.000)
P (0.228, 0.228, 0.228)
P (0.772, 0.772, 0.772)
W (0.500, 0.500, 0.500)

## Properties
SG = R-3m
density of states at the Fermi level = 2.589 states/eV/f.u.


(two)
The following is a PBE calculation of a relaxed AcP2W crystal, from Alexandria via LeMat-Bulk.

Cell: 3.271 3.271 7.093 Å, 90.00 90.00 90.00°
Fractional positions:
Ac (0.000, 0.000, 0.000)
P (0.500, 0.500, 0.311)
P (0.500, 0.500, 0.689)
W (0.000, 0.000, 0.500)

## Properties
SG = P4/mmm
density of states at the Fermi level = 2.262 states/eV/f.u.


It turns out (one) is the most stable, with the second structure 0.276 eV/atom higher.


(one)
The following is a PBE calculation of a relaxed AcYP2 crystal, from Alexandria via LeMat-Bulk.

Cell: 7.338 7.338 7.338 Å, 33.51 33.51 33.51°
Fractional positions:
Ac (0.000, 0.000, 0.000)
Y (0.500, 0.500, 0.500)
P (0.242, 0.242, 0.242)
P (0.758, 0.758, 0.758)

## Properties
SG = R-3m
density of states at the Fermi level = 0.414 states/eV/f.u.


(two)
The following is a PBE calculation of a relaxed AcYP2 crystal, from Alexandria via LeMat-Bulk.

Cell: 5.154 5.154 3.634 Å, 90.00 90.00 90.00°
Fractional positions:
Ac (0.000, 0.000, 0.000)
Y (0.500, 0.500, 0.000)
P (0.000, 0.500, 0.500)
P (0.500, 0.000, 0.500)

## Properties
SG = P4/mmm
density of states at the Fermi level = 1.540 states/eV/f.u.


(three)
The following is a PBE calculation of a relaxed AcYP2 crystal, from Alexandria via LeMat-Bulk.

Cell: 7.612 7.612 7.612 Å, 31.83 31.83 31.83°
Fractional positions:
Ac (0.000, 0.000, 0.000)
Y (0.829, 0.829, 0.829)
P (0.419, 0.419, 0.419)
P (0.573, 0.573, 0.573)

## Properties
SG = R3m
density of states at the Fermi level = 0.184 states/eV/f.u.


It turns out (one) is the most stable, with the second structure 0.175 eV/atom higher.


(one)
The following is a PBE calculation of a relaxed AcZnP2 crystal, from Alexandria via LeMat-Bulk.

Cell: 7.756 7.756 7.756 Å, 35.49 35.49 35.49°
Fractional positions:
Ac (0.000, 0.000, 0.000)
Zn (0.500, 0.500, 0.500)
P (0.398, 0.398, 0.398)
P (0.602, 0.602, 0.602)

## Properties
SG = R-3m
density of states at the Fermi level = 5.059 states/eV/f.u.


(two)
The following is a PBE calculation of a relaxed AcZnP2 crystal, from Alexandria via LeMat-Bulk.

Cell: 4.686 4.686 4.027 Å, 90.00 90.00 90.00°
Fractional positions:
Ac (0.000, 0.000, 0.000)
Zn (0.500, 0.500, 0.000)
P (0.000, 0.500, 0.500)
P (0.500, 0.000, 0.500)

## Properties
SG = P4/mmm
density of states at the Fermi level = 1.697 states/eV/f.u.


(three)
The following is a PBE calculation of a relaxed AcZnP2 crystal, from Alexandria via LeMat-Bulk.

Cell: 3.700 3.700 6.183 Å, 90.00 90.00 90.00°
Fractional positions:
Ac (0.000, 0.000, 0.000)
Zn (0.000, 0.000, 0.500)
P (0.500, 0.500, 0.316)
P (0.500, 0.500, 0.684)

## Properties
SG = P4/mmm
density of states at the Fermi level = 2.470 states/eV/f.u.


It turns out (two) is the most stable, with the second structure 0.013 eV/atom higher.


(one)
The following is a PBE calculation of a relaxed AcZrP2 crystal, from Alexandria via LeMat-Bulk.

Cell: 7.469 7.469 7.469 Å, 30.58 30.58 30.58°
Fractional positions:
Ac (0.000, 0.000, 0.000)
Zr (0.173, 0.173, 0.173)
P (0.574, 0.574, 0.574)
P (0.768, 0.768, 0.768)

## Properties
SG = R3m
density of states at the Fermi level = 2.479 states/eV/f.u.


(two)
The following is a PBE calculation of a relaxed AcZrP2 crystal, from Alexandria via LeMat-Bulk.

Cell: 7.207 7.207 7.207 Å, 32.29 32.29 32.29°
Fractional positions:
Ac (0.000, 0.000, 0.000)
Zr (0.500, 0.500, 0.500)
P (0.237, 0.237, 0.237)
P (0.763, 0.763, 0.763)

## Properties
SG = R-3m
density of states at the Fermi level = 1.677 states/eV/f.u.


(three)
The following is a PBE calculation of a relaxed AcZrP2 crystal, from Alexandria via LeMat-Bulk.

Cell: 5.046 5.046 3.477 Å, 90.00 90.00 90.00°
Fractional positions:
Ac (0.000, 0.000, 0.000)
Zr (0.500, 0.500, 0.000)
P (0.000, 0.500, 0.500)
P (0.500, 0.000, 0.500)

## Properties
SG = P4/mmm
density of states at the Fermi level = 3.509 states/eV/f.u.


It turns out (two) is the most stable, with the second structure 0.098 eV/atom higher.


(one)
The following is a PBE calculation of a relaxed AcPaPb crystal, from Alexandria via LeMat-Bulk.

Cell: 5.630 5.630 3.348 Å, 90.00 90.00 120.00°
Fractional positions:
Ac (0.000, 0.000, 0.000)
Pa (0.333, 0.667, 0.000)
Pb (0.667, 0.333, 0.500)

## Properties
SG = P-6m2
density of states at the Fermi level = 6.441 states/eV/f.u.


(two)
The following is a PBE calculation of a relaxed AcPaPb crystal, from Alexandria via LeMat-Bulk.

Cell: 6.381 6.381 6.381 Å, 141.89 141.89 55.00°
Fractional positions:
Ac (0.000, 0.000, 0.000)
Pa (0.701, 0.701, 0.000)
Pb (0.328, 0.328, 0.000)

## Properties
SG = I4mm
density of states at the Fermi level = 6.105 states/eV/f.u.


It turns out (two) is the most stable, with the second structure 0.229 eV/atom higher.


(one)
The following is a PBE calculation of a relaxed AcPaPd2 crystal, from Alexandria via LeMat-Bulk.

Cell: 5.170 5.170 5.170 Å, 60.00 60.00 60.00°
Fractional positions:
Ac (0.000, 0.000, 0.000)
Pa (0.500, 0.500, 0.500)
Pd (0.250, 0.250, 0.250)
Pd (0.750, 0.750, 0.750)

## Properties
SG = Fm-3m
density of states at the Fermi level = 7.504 states/eV/f.u.


(two)
The following is a PBE calculation of a relaxed AcPaPd2 crystal, from Alexandria via LeMat-Bulk.

Cell: 7.831 7.831 7.831 Å, 30.21 30.21 30.21°
Fractional positions:
Ac (0.000, 0.000, 0.000)
Pa (0.500, 0.500, 0.500)
Pd (0.239, 0.239, 0.239)
Pd (0.761, 0.761, 0.761)

## Properties
SG = R-3m
density of states at the Fermi level = 4.619 states/eV/f.u.


(three)
The following is a PBE calculation of a relaxed AcPaPd2 crystal, from Alexandria via LeMat-Bulk.

Cell: 5.283 5.283 3.490 Å, 90.00 90.00 90.00°
Fractional positions:
Ac (0.000, 0.000, 0.000)
Pa (0.500, 0.500, 0.000)
Pd (0.000, 0.500, 0.500)
Pd (0.500, 0.000, 0.500)

## Properties
SG = P4/mmm
density of states at the Fermi level = 6.898 states/eV/f.u.


(four)
The following is a PBE calculation of a relaxed AcPaPd2 crystal, from Alexandria via LeMat-Bulk.

Cell: 3.655 3.655 7.432 Å, 90.00 90.00 90.00°
Fractional positions:
Ac (0.000, 0.000, 0.000)
Pa (0.000, 0.000, 0.500)
Pd (0.500, 0.500, 0.302)
Pd (0.500, 0.500, 0.698)

## Properties
SG = P4/mmm
density of states at the Fermi level = 5.222 states/eV/f.u.


It turns out (four) is the most stable, with the second structure 0.018 eV/atom higher.